# 1
# PBE Fe13Pt3, optimized geometry
# Total magnetic moment: 35.88 μB/f.u.
# V: 407 Å³ per cell
# Total DFT energy (no corrections): -129.0 eV per formula unit
data_Fe13Pt3
_symmetry_space_group_name_H-M 'A m m 2'
_symmetry_Int_Tables_number 38
_symmetry_space_group_name_Hall 'A 2 -2'
_cell_length_a 5.8073
_cell_length_b 8.3360
_cell_length_c 8.4027
_cell_angle_alpha 90.00
_cell_angle_beta 90.00
_cell_angle_gamma 90.00
loop_
_atom_site_label
_atom_site_fract_x
_atom_site_fract_y
_atom_site_fract_z
Fe1 0.0000 0.0000 0.0000
Fe2 0.0000 0.0000 0.5180
Fe3 0.0000 0.2377 0.7584
Fe4 0.2436 0.0000 0.7530
Fe5 0.2447 0.2455 0.5107
Fe6 0.5000 0.0000 0.5205
Fe7 0.5000 0.2421 0.7577
Pt1 0.2453 0.0000 0.2672
Pt2 0.5000 0.0000 0.9931

***

# 2
# PBE PaB3Rh6, optimized geometry
# Total magnetic moment: 0.00 μB/f.u.
# V: 406 Å³ per cell
# Total DFT energy (no corrections): -78.6 eV per formula unit
data_PaB3Rh6
_symmetry_space_group_name_H-M 'R 3'
_symmetry_Int_Tables_number 146
_symmetry_space_group_name_Hall 'R 3'
_cell_length_a 5.4425
_cell_length_b 5.4425
_cell_length_c 15.8098
_cell_angle_alpha 90.00
_cell_angle_beta 90.00
_cell_angle_gamma 120.00
loop_
_atom_site_label
_atom_site_fract_x
_atom_site_fract_y
_atom_site_fract_z
Pa1 0.0000 0.0000 0.0000
B1 0.0000 0.0000 0.2976
B2 0.0000 0.0000 0.6314
B3 0.0000 0.0000 0.8309
Rh1 0.9996 0.5106 0.0611
Rh2 0.0626 0.3357 0.2142

***

# 3
# PBE Cr3InAu, optimized geometry
# ΔE to the lowest computed polymorph: 0.000 eV/atom
# Total magnetic moment: 13.01 μB/f.u.
# V: 127 Å³ per cell
# Total DFT energy (no corrections): -29.1 eV per formula unit
data_Cr3InAu
_symmetry_space_group_name_H-M 'P m -3 m'
_symmetry_Int_Tables_number 221
_symmetry_space_group_name_Hall '-P 4 2 3'
_cell_length_a 5.0237
_cell_length_b 5.0237
_cell_length_c 5.0237
_cell_angle_alpha 90.00
_cell_angle_beta 90.00
_cell_angle_gamma 90.00
loop_
_atom_site_label
_atom_site_fract_x
_atom_site_fract_y
_atom_site_fract_z
Cr1 0.0000 0.0000 0.5000
In1 0.5000 0.5000 0.5000
Au1 0.0000 0.0000 0.0000

***

# 4
# PBE NaInPd, optimized geometry
# Total magnetic moment: 0.00 μB/f.u.
# V: 63 Å³ per cell
# Total DFT energy (no corrections): -10.0 eV per formula unit
data_NaInPd
_symmetry_space_group_name_H-M 'P 3 m 1'
_symmetry_Int_Tables_number 156
_symmetry_space_group_name_Hall 'P 3 -2"'
_cell_length_a 4.7815
_cell_length_b 4.7815
_cell_length_c 3.1623
_cell_angle_alpha 90.00
_cell_angle_beta 90.00
_cell_angle_gamma 120.00
loop_
_atom_site_label
_atom_site_fract_x
_atom_site_fract_y
_atom_site_fract_z
Na1 0.0000 0.0000 0.0000
In1 0.6667 0.3333 0.5017
Pd1 0.3333 0.6667 0.4968

***

# 5
# PBE Sb2PtPb, optimized geometry
# Energy relative to the elements, uncorrected: -0.9 eV/f.u.
# Total magnetic moment: 0.00 μB/f.u.
# V: 211 Å³ per cell
# Total DFT energy (no corrections): -18.9 eV per formula unit
data_Sb2PtPb
_symmetry_space_group_name_H-M 'C m m m'
_symmetry_Int_Tables_number 65
_symmetry_space_group_name_Hall '-C 2 2'
_cell_length_a 5.8011
_cell_length_b 8.6390
_cell_length_c 4.2141
_cell_angle_alpha 90.00
_cell_angle_beta 90.00
_cell_angle_gamma 90.00
loop_
_atom_site_label
_atom_site_fract_x
_atom_site_fract_y
_atom_site_fract_z
Sb1 0.0000 0.1962 0.0000
Pt1 0.0000 0.0000 0.5000
Pb1 0.0000 0.5000 0.5000

***

# 6
# PBE FeBr3N, optimized geometry
# ΔE to the lowest computed polymorph: 0.646 eV/atom
# Energy relative to the elements, uncorrected: 7.4 eV/f.u.
# Total magnetic moment: 0.00 μB/f.u.
# V: 110 Å³ per cell
# Total DFT energy (no corrections): -14.4 eV per formula unit
data_FeBr3N
_symmetry_space_group_name_H-M 'P m -3 m'
_symmetry_Int_Tables_number 221
_symmetry_space_group_name_Hall '-P 4 2 3'
_cell_length_a 4.7852
_cell_length_b 4.7852
_cell_length_c 4.7852
_cell_angle_alpha 90.00
_cell_angle_beta 90.00
_cell_angle_gamma 90.00
loop_
_atom_site_label
_atom_site_fract_x
_atom_site_fract_y
_atom_site_fract_z
Fe1 0.0000 0.0000 0.0000
Br1 0.0000 0.0000 0.5000
N1 0.5000 0.5000 0.5000

***

# 7
# PBE Pr3SbAsN, optimized geometry
# Energy relative to the elements, uncorrected: -7.3 eV/f.u.
# Total magnetic moment: 0.00 μB/f.u.
# V: 369 Å³ per cell
# Total DFT energy (no corrections): -38.8 eV per formula unit
data_Pr3SbAsN
_symmetry_space_group_name_H-M 'P 1 21/m 1'
_symmetry_Int_Tables_number 11
_symmetry_space_group_name_Hall '-P 2yb'
_cell_length_a 9.0771
_cell_length_b 4.3033
_cell_length_c 9.6064
_cell_angle_alpha 90.00
_cell_angle_beta 100.54
_cell_angle_gamma 90.00
loop_
_atom_site_label
_atom_site_fract_x
_atom_site_fract_y
_atom_site_fract_z
Pr1 0.0866 0.2500 0.3502
Pr2 0.3415 0.2500 0.9883
Pr3 0.3894 0.7500 0.6639
Sb1 0.3256 0.7500 0.2865
As1 0.1488 0.2500 0.6596
N1 0.4103 0.7500 0.9020

***

# 8
# PBE BeCoRu2, optimized geometry
# Total magnetic moment: 0.00 μB/f.u.
# V: 47 Å³ per cell
# Total DFT energy (no corrections): -29.4 eV per formula unit
data_BeCoRu2
_symmetry_space_group_name_H-M 'P 1 m 1'
_symmetry_Int_Tables_number 6
_symmetry_space_group_name_Hall 'P -2y'
_cell_length_a 2.6486
_cell_length_b 3.8389
_cell_length_c 4.7852
_cell_angle_alpha 90.00
_cell_angle_beta 106.02
_cell_angle_gamma 90.00
loop_
_atom_site_label
_atom_site_fract_x
_atom_site_fract_y
_atom_site_fract_z
Be1 0.0000 0.0000 0.0000
Co1 0.1233 0.5000 0.2400
Ru1 0.3911 0.5000 0.7777
Ru2 0.7431 0.0000 0.4800